Entry 1:
Crystalline NaHf2Pb2 at its relaxed geometry, computed with PBE.

Its total magnetization is 0.61 μB per formula unit. The formation energy from the elements is 0.120 eV/atom. For the energy above the lowest structure with this stoichiometry, the calculation gives 0.000 eV/f.u. The calculation puts the density of states at the Fermi level at 7.009 states/eV/cell. The value obtained for the raw total energy is -5.6084 eV per atom.

The structure belongs to space group P4/mbm (No. 127); the cell edges are 8.847, 8.847 and 3.300 Å and the angles 90.00°, 90.00° and 90.00°. The inequivalent atoms are Na at (0.000, 0.000, 0.000), Hf at (0.123, 0.377, 0.500) and Pb at (0.171, 0.671, 0.000).



Entry 2:
Crystalline NaHf2Pb at its relaxed geometry, computed with PBE.

Its total magnetization is 0.00 μB per formula unit. The formation energy from the elements is 0.707 eV/atom. The calculation puts the density of states at the Fermi level at 17.110 states/eV/cell. The value obtained for the raw total energy is -5.5264 eV per atom.

The structure belongs to space group I-42d (No. 122); the cell edges are 8.299, 8.299 and 5.848 Å and the angles 90.00°, 90.00° and 90.00°. The inequivalent atoms are Na at (0.000, 0.000, 0.000), Hf at (0.237, 0.250, 0.625) and Pb at (0.000, 0.000, 0.500).



Please write out number 1 again, unchanged.
Crystalline NaHf2Pb2 at its relaxed geometry, computed with PBE.

Its total magnetization is 0.61 μB per formula unit. The formation energy from the elements is 0.120 eV/atom. For the energy above the lowest structure with this stoichiometry, the calculation gives 0.000 eV/f.u. The calculation puts the density of states at the Fermi level at 7.009 states/eV/cell. The value obtained for the raw total energy is -5.6084 eV per atom.

The structure belongs to space group P4/mbm (No. 127); the cell edges are 8.847, 8.847 and 3.300 Å and the angles 90.00°, 90.00° and 90.00°. The inequivalent atoms are Na at (0.000, 0.000, 0.000), Hf at (0.123, 0.377, 0.500) and Pb at (0.171, 0.671, 0.000).



Which of these has the highest raw total energy? NaHf2Pb